First-principles (PBE with a Hubbard U) data for an optimized crystal structure of Tb12Co3O5, as listed in the Alexandria database. Values from VASP.

Geometry as Quantum ESPRESSO input:
```
&SYSTEM
  ibrav = 0, nat = 80, ntyp = 3
/
ATOMIC_SPECIES
Tb 158.93 Tb.upf
Co 58.93 Co.upf
O 16.00 O.upf
ATOMIC_POSITIONS angstrom
Tb 2.282 -0.481 0.867
Tb 9.005 4.629 -4.244
Tb 9.807 0.481 0.867
Tb 9.005 -2.896 4.244
Tb 7.044 -0.867 2.282
Tb 11.769 -1.480 2.896
Tb 0.867 2.282 -0.481
Tb 10.421 3.281 -1.480
Tb 4.629 4.244 -1.480
Tb 6.658 2.282 0.481
Tb -0.481 0.867 2.282
Tb 4.244 -1.480 4.629
Tb 7.044 6.658 -2.282
Tb 4.244 1.480 2.896
Tb 4.629 -4.244 9.005
Tb 6.658 -2.282 7.044
Tb 2.896 4.244 1.480
Tb 8.392 5.243 0.481
Tb 4.244 9.005 -2.896
Tb 7.044 0.867 5.243
Tb 2.282 7.044 -0.867
Tb 9.005 2.896 3.281
Tb 1.480 2.896 4.244
Tb 2.282 0.481 6.658
Tb 5.243 7.044 0.867
Tb 6.045 4.629 3.281
Tb -1.480 4.629 4.244
Tb 5.243 0.481 8.392
Tb 0.481 6.658 2.282
Tb 3.281 -1.480 10.421
Tb -0.867 2.282 7.044
Tb 4.629 3.281 6.045
Tb 0.867 9.807 0.481
Tb 2.896 11.769 -1.480
Tb 3.281 6.045 4.629
Tb 0.481 0.867 9.807
Tb 3.281 9.005 2.896
Tb 8.007 6.658 5.243
Tb 0.867 5.243 7.044
Tb 2.896 3.281 9.005
Tb -2.896 4.244 9.005
Tb 6.658 5.243 8.007
Tb -4.244 9.005 4.629
Tb 0.481 8.392 5.243
Tb -1.480 10.421 3.281
Tb -2.282 7.044 6.658
Tb -1.480 2.896 11.769
Tb 5.243 8.007 6.658
Co 3.763 1.881 0.000
Co 7.525 3.763 -1.881
Co 1.881 0.000 3.763
Co 9.406 0.000 3.763
Co 0.000 3.763 1.881
Co 3.763 -1.881 7.525
Co 3.763 9.406 0.000
Co 7.525 3.763 5.644
Co -1.881 7.525 3.763
Co 5.644 7.525 3.763
Co 0.000 3.763 9.406
Co 3.763 5.644 7.525
O 0.000 0.000 0.000
O 3.763 3.763 -3.763
O 3.763 -3.763 3.763
O 7.525 0.000 0.000
O 11.288 1.881 0.000
O 7.525 -3.763 5.644
O 5.644 7.525 -3.763
O 5.644 0.000 3.763
O 3.763 5.644 0.000
O 7.525 3.763 1.881
O -3.763 3.763 3.763
O 0.000 7.525 0.000
O 0.000 0.000 7.525
O 3.763 3.763 3.763
O 0.000 3.763 5.644
O 3.763 1.881 7.525
O 1.881 7.525 3.763
O 1.881 0.000 11.288
O 0.000 11.288 1.881
O -3.763 5.644 7.525
CELL_PARAMETERS angstrom
-7.525 7.525 7.525
7.525 -7.525 7.525
7.525 7.525 -7.525
```

**Final energy**: -6.033 eV/atom
**Calculated volume**: 1704 Å³ per cell